Computed, not measured: a relaxed GeSbTe crystal at the PBE level of DFT.

Summary:
For the calculated total energy, the calculation gives -3.813 eV per atom. Its offset from the most stable computed form is 0.20 eV/f.u. The space-group type is P-1. The value obtained for the energy relative to the elements, uncorrected is 0.15 eV per atom.

a = 5.2878 Å, b = 6.3609 Å, c = 6.3371 Å
α = 82.34°, β = 90.02°, γ = 65.33°
Last column: nearest neighbours and their distance in Å.
Element x y z (fractional)
1 Ge 0.7983 0.4245 0.2874  1 Te 2.73, 3 Sb 2.79-2.93
2 Ge 0.1715 0.6781 0.1229  1 Te 2.73, 3 Sb 2.79-2.93
3 Sb 0.6268 0.7674 0.9275  3 Ge 2.79-2.93, 1 Te 2.86
4 Sb 0.3434 0.3348 0.4824  3 Ge 2.79-2.93, 1 Te 2.86
5 Te 0.8722 0.2779 0.8978  1 Ge 2.73, 1 Sb 2.86
6 Te 0.0983 0.8241 0.5128  1 Ge 2.73, 1 Sb 2.86